Entry 1:
A relaxed LaPrHg crystal, computed with PBE.

## Properties
As for the crystal system: tetragonal. The calculation puts the formation energy at -0.313 eV/atom. The value obtained for the energy above the most stable polymorph in this dataset is 0 meV per atom.

Structure (CIF):
```
data_LaPrHg
_space_group_name_H-M_alt 'P 1'
_space_group_IT_number 1
_space_group_name_Hall 'P 1'
_cell_length_a 3.862
_cell_length_b 3.862
_cell_length_c 7.007
_cell_angle_alpha 106.00
_cell_angle_beta 106.00
_cell_angle_gamma 90.00
loop_
_atom_site_label
_atom_site_type_symbol
_atom_site_fract_x
_atom_site_fract_y
_atom_site_fract_z
_atom_site_occupancy
Pr1 Pr 0.300 0.300 0.601 1
La1 La 0.603 0.603 0.205 1
Hg1 Hg 0.947 0.947 0.894 1
```

Entry 2:
A relaxed CaPr4Tm3Se8 crystal, computed with PBE.

## Properties
As for the crystal system: trigonal. As for the formation energy from raw total energies: -1797.7 meV per atom.

Structure (CIF):
```
data_CaPr4Tm3Se8
_space_group_name_H-M_alt 'P 1'
_space_group_IT_number 1
_space_group_name_Hall 'P 1'
_cell_length_a 8.178
_cell_length_b 8.483
_cell_length_c 8.177
_cell_angle_alpha 118.82
_cell_angle_beta 120.00
_cell_angle_gamma 90.00
loop_
_atom_site_label
_atom_site_type_symbol
_atom_site_fract_x
_atom_site_fract_y
_atom_site_fract_z
_atom_site_occupancy
Pr1 Pr 0.500 0.000 0.500 1
Tm1 Tm 0.500 0.500 0.000 1
Se1 Se 0.258 0.274 0.516 1
Ca1 Ca 0.000 0.500 0.000 1
Tm2 Tm 0.000 0.500 0.500 1
Pr2 Pr 0.500 0.000 0.000 1
Se2 Se 0.261 0.271 0.016 1
Se3 Se 0.755 0.271 0.016 1
Pr3 Pr 0.000 0.000 0.000 1
Pr4 Pr 0.000 0.000 0.500 1
Se4 Se 0.755 0.271 0.510 1
Se5 Se 0.739 0.729 0.984 1
Se6 Se 0.245 0.729 0.490 1
Se7 Se 0.245 0.729 0.984 1
Tm3 Tm 0.500 0.500 0.500 1
Se8 Se 0.742 0.726 0.484 1
```

Entry 3:
A relaxed ReSiCl crystal, computed with PBE.

## Properties
As for the crystal system: orthorhombic. As for the formation energy from raw total energies: 814.9 meV per atom. The value obtained for the energy above the most stable polymorph in this dataset is 503 meV per atom.

Structure (CIF):
```
data_ReSiCl
_space_group_name_H-M_alt 'P 1'
_space_group_IT_number 1
_space_group_name_Hall 'P 1'
_cell_length_a 4.663
_cell_length_b 4.663
_cell_length_c 4.663
_cell_angle_alpha 145.03
_cell_angle_beta 127.31
_cell_angle_gamma 64.81
loop_
_atom_site_label
_atom_site_type_symbol
_atom_site_fract_x
_atom_site_fract_y
_atom_site_fract_z
_atom_site_occupancy
Re1 Re 0.318 0.318 0.000 1
Cl1 Cl 0.006 0.006 0.000 1
Si1 Si 0.675 0.675 0.000 1
```

Entry 4:
A relaxed LiBe2Cr crystal, computed with PBE.

## Properties
As for the crystal system: orthorhombic. The calculation puts the formation energy at 0.476 eV/atom. The value obtained for the energy above the most stable polymorph in this dataset is 357 meV per atom.

Structure (CIF):
```
data_LiBe2Cr
_space_group_name_H-M_alt 'P 1'
_space_group_IT_number 1
_space_group_name_Hall 'P 1'
_cell_length_a 4.773
_cell_length_b 4.773
_cell_length_c 4.773
_cell_angle_alpha 151.68
_cell_angle_beta 128.61
_cell_angle_gamma 59.71
loop_
_atom_site_label
_atom_site_type_symbol
_atom_site_fract_x
_atom_site_fract_y
_atom_site_fract_z
_atom_site_occupancy
Cr1 Cr 0.750 0.250 0.500 1
Li1 Li 0.250 0.750 0.500 1
Be1 Be 0.495 0.495 0.000 1
Be2 Be 0.005 0.005 0.000 1
```